DFT (PBE-GGA) results for a geometry-optimized ZnFe2 structure.

## Properties
M_tot   1.65 μB per atom
Energy of formation   596 meV/atom

Cell and atoms, written as extended XYZ:
```
3
Lattice="0.000 2.799 2.799 2.799 0.000 2.799 2.799 2.799 0.000" Properties=species:S:1:pos:R:3 pbc="T T T"
Zn 0.000 0.000 0.000
Fe 1.400 1.400 1.400
Fe 4.199 4.199 4.199
```

***

DFT (PBE-GGA) results for a geometry-optimized K5BiTe4 structure.

## Properties
M_tot   0.00 μB per atom
E_form (uncorrected)   -0.76 eV per atom

Cell and atoms, written as extended XYZ:
```
10
Lattice="9.281 -2.697 0.000 9.281 2.697 0.000 -1.441 0.000 8.201" Properties=species:S:1:pos:R:3 pbc="T T T"
K 0.000 0.000 0.000
K 5.129 0.000 4.031
K 6.370 0.000 0.091
K 10.751 0.000 8.109
K 11.992 0.000 4.170
Bi -0.721 0.000 4.100
Te 2.003 0.000 6.015
Te 7.774 0.000 5.955
Te 9.347 0.000 2.245
Te 15.119 0.000 2.186
```

***

DFT (PBE-GGA) results for a geometry-optimized FeCuHg2 structure.

## Properties
M_tot   0.68 μB per atom
Energy of formation   387 meV/atom
Polymorph energy (0 for the lowest one)   71 meV/atom

Cell and atoms, written as extended XYZ:
```
4
Lattice="-1.460 2.375 5.018 1.460 -2.375 5.018 1.460 2.375 -5.018" Properties=species:S:1:pos:R:3 pbc="T T T"
Fe 0.000 0.000 0.000
Cu 0.000 2.375 2.923
Hg 1.460 0.000 2.452
Hg 0.000 0.000 5.296
```